Entry 1:
LaAsSe: optimized geometry, PBE-GGA.

Properties
**E_form (uncorrected)**: -250 kJ/mol of formula units
**E_tot**: -5.22 eV/atom
**N(E_F)**: 4.81 states/eV per cell

Lattice parameters (Å, degrees): 5.0269 5.0269 5.0269 60.00 60.00 60.00
With the nearest neighbours (Å) after each atom.
Fractional coordinates of all 3 atoms:
1 La 0.0000 0.0000 0.0000  4 As 3.08, 4 Se 3.08
2 As 0.7500 0.7500 0.7500  4 La 3.08
3 Se 0.2500 0.2500 0.2500  4 La 3.08

Entry 2:
La2AsSe: optimized geometry, PBE-GGA.

Properties
**E_form (uncorrected)**: -647 kJ/mol of formula units
**Polymorph energy (0 for the lowest one)**: 163 meV/atom
**E_tot**: -6.17 eV/atom
**N(E_F)**: 2.81 states/eV per cell

Lattice parameters (Å, degrees): 7.8879 7.8879 7.8879 31.34 31.34 31.34
With the nearest neighbours (Å) after each atom.
Fractional coordinates of all 4 atoms:
1 La 0.0000 0.0000 0.0000  3 Se 3.11, 3 As 3.11
2 La 0.1677 0.1677 0.1677  3 Se 3.06, 3 As 3.08
3 As 0.7516 0.7516 0.7516  6 La 3.08-3.11
4 Se 0.5821 0.5821 0.5821  6 La 3.06-3.11

Entry 3:
La3AsSe: optimized geometry, PBE-GGA.

Properties
**E_form (uncorrected)**: -323 kJ/mol of formula units
**Polymorph energy (0 for the lowest one)**: 0 meV/atom
**E_tot**: -5.25 eV/atom
**N(E_F)**: 9.90 states/eV per cell

Lattice parameters (Å, degrees): 5.5784 5.5784 5.5784 90.00 90.00 90.00
With the nearest neighbours (Å) after each atom.
Fractional coordinates of all 5 atoms:
1 La 0.0000 0.0000 0.5000  2 Se 2.79
2 La 0.0000 0.5000 0.0000  2 Se 2.79
3 La 0.5000 0.0000 0.0000  2 Se 2.79
4 As 0.5000 0.5000 0.5000  12 La 3.94
5 Se 0.0000 0.0000 0.0000  6 La 2.79

Entry 4:
La2AsSe: optimized geometry, PBE-GGA.

Properties
**E_form (uncorrected)**: -510 kJ/mol of formula units
**Polymorph energy (0 for the lowest one)**: 517 meV/atom
**E_tot**: -5.82 eV/atom
**N(E_F)**: 3.42 states/eV per cell

Lattice parameters (Å, degrees): 6.9977 6.9977 6.9977 144.50 144.50 51.08
With the nearest neighbours (Å) after each atom.
Fractional coordinates of all 4 atoms:
1 La 0.0000 0.0000 0.0000  4 As 3.02
2 La 0.7500 0.2500 0.5000  4 Se 3.02
3 As 0.5000 0.5000 0.0000  4 La 3.02
4 Se 0.2500 0.7500 0.5000  4 La 3.02